w) First-principles (PBE) data for a relaxed Sm3MgSc2 crystal, as listed in Alexandria. Values from VASP.

Structure (Quantum ESPRESSO input):
```
&SYSTEM
  ibrav = 0, nat = 6, ntyp = 3
/
ATOMIC_SPECIES
Sm 150.36 Sm.upf
Mg 24.30 Mg.upf
Sc 44.96 Sc.upf
ATOMIC_POSITIONS angstrom
Sm 0.0000 0.0000 0.0000
Sm -3.7869 -5.9137 5.4153
Sm -1.9088 -2.9808 2.7296
Mg -5.1483 -3.5207 3.4756
Sc -7.0421 -6.4780 6.1836
Sc -3.2546 -0.5633 0.7675
CELL_PARAMETERS angstrom
-2.1327 2.5863 1.3330
-2.4683 -0.7331 -2.5267
-5.6957 -8.8945 8.1449
```

## Properties
- DOS at the Fermi energy: 9.40 states/eV/f.u.

---

x) First-principles (PBE) data for a relaxed Sm3MgSc2 crystal, as listed in Alexandria. Values from VASP.

Structure (Quantum ESPRESSO input):
```
&SYSTEM
  ibrav = 0, nat = 12, ntyp = 3
/
ATOMIC_SPECIES
Sm 150.36 Sm.upf
Mg 24.30 Mg.upf
Sc 44.96 Sc.upf
ATOMIC_POSITIONS angstrom
Sm -2.5599 -0.4458 4.8104
Sm -0.5120 -4.5222 2.3115
Sm 2.4838 -0.3727 2.1303
Sm 2.7220 -0.1150 6.0201
Sm 3.0084 -3.7722 2.2072
Sm 3.2466 -3.5146 6.0969
Mg -2.1142 -3.8103 5.0206
Mg -0.9577 -1.1577 2.1013
Sc 0.6517 -2.1400 4.4135
Sc 0.3042 1.1809 4.0372
Sc 5.4262 -5.0681 4.1901
Sc 5.0787 -1.7472 3.8138
CELL_PARAMETERS angstrom
-3.1818 1.4138 5.3799
0.1099 -6.3818 1.7420
8.8024 1.0808 1.1053
```

## Properties
- DOS at the Fermi energy: 7.28 states/eV/f.u.

---

The data favor w); the next most stable structure lies 0.057 eV/atom above it.